Entry from OQMD via LeMat-Bulk: an optimized crystal structure of Pr2Sm2CICl4 (GGA-PBE).

ΔE to the lowest computed polymorph: 5 meV/atom

Structure (CIF):
```
data_Pr2Sm2CICl4
_chemical_formula_sum 'Pr2 Sm2 C1 I1 Cl4'
_symmetry_space_group_name_H-M 'P 1'
_symmetry_Int_Tables_number 1
_cell_length_a 9.078
_cell_length_b 9.078
_cell_length_c 8.666
_cell_angle_alpha 104.57
_cell_angle_beta 104.57
_cell_angle_gamma 25.10
loop_
_symmetry_equiv_pos_as_xyz
'x,y,z'
loop_
_atom_site_label
_atom_site_fract_x
_atom_site_fract_y
_atom_site_fract_z
Pr1 0.147 0.147 0.081
Pr2 0.853 0.853 0.919
Sm1 0.499 0.499 0.195
Sm2 0.501 0.501 0.805
C1 0.000 0.000 0.000
I1 0.000 0.000 0.500
Cl1 0.332 0.332 0.150
Cl2 0.337 0.337 0.677
Cl3 0.663 0.663 0.323
Cl4 0.668 0.668 0.850
```



Entry from OQMD via LeMat-Bulk: an optimized crystal structure of RbEr2CuTe4 (GGA-PBE).

Raw total energy: -4.41 eV/atom

Structure (CIF):
```
data_RbEr2CuTe4
_chemical_formula_sum 'Rb2 Er4 Cu2 Te8'
_symmetry_space_group_name_H-M 'P 1'
_symmetry_Int_Tables_number 1
_cell_length_a 7.904
_cell_length_b 7.904
_cell_length_c 15.424
_cell_angle_alpha 90.00
_cell_angle_beta 90.00
_cell_angle_gamma 147.90
loop_
_symmetry_equiv_pos_as_xyz
'x,y,z'
loop_
_atom_site_label
_atom_site_fract_x
_atom_site_fract_y
_atom_site_fract_z
Rb1 0.112 0.888 0.750
Rb2 0.888 0.112 0.250
Er1 0.366 0.634 0.565
Er2 0.366 0.634 0.935
Er3 0.634 0.366 0.065
Er4 0.634 0.366 0.435
Cu1 0.162 0.838 0.250
Cu2 0.838 0.162 0.750
Te1 0.000 0.000 0.000
Te2 0.000 0.000 0.500
Te3 0.264 0.736 0.110
Te4 0.264 0.736 0.390
Te5 0.432 0.568 0.750
Te6 0.568 0.432 0.250
Te7 0.736 0.264 0.610
Te8 0.736 0.264 0.890
```



Entry from OQMD via LeMat-Bulk: an optimized crystal structure of DyTlNi (GGA-PBE).

Raw total energy: -3.93 eV/atom

Structure (CIF):
```
data_DyTlNi
_chemical_formula_sum 'Dy1 Tl1 Ni1'
_symmetry_space_group_name_H-M 'P 1'
_symmetry_Int_Tables_number 1
_cell_length_a 4.714
_cell_length_b 4.714
_cell_length_c 4.714
_cell_angle_alpha 60.00
_cell_angle_beta 60.00
_cell_angle_gamma 60.00
loop_
_symmetry_equiv_pos_as_xyz
'x,y,z'
loop_
_atom_site_label
_atom_site_fract_x
_atom_site_fract_y
_atom_site_fract_z
Dy1 0.000 0.000 0.000
Tl1 0.250 0.250 0.250
Ni1 0.500 0.500 0.500
```



Entry from OQMD via LeMat-Bulk: an optimized crystal structure of LuB2C (GGA-PBE).

Raw total energy: -7.34 eV/atom

Structure (CIF):
```
data_LuB2C
_chemical_formula_sum 'Lu8 B16 C8'
_symmetry_space_group_name_H-M 'P 1'
_symmetry_Int_Tables_number 1
_cell_length_a 6.731
_cell_length_b 6.731
_cell_length_c 7.179
_cell_angle_alpha 90.00
_cell_angle_beta 90.00
_cell_angle_gamma 90.00
loop_
_symmetry_equiv_pos_as_xyz
'x,y,z'
loop_
_atom_site_label
_atom_site_fract_x
_atom_site_fract_y
_atom_site_fract_z
Lu1 0.191 0.309 0.250
Lu2 0.191 0.309 0.750
Lu3 0.309 0.809 0.250
Lu4 0.309 0.809 0.750
Lu5 0.691 0.191 0.250
Lu6 0.691 0.191 0.750
Lu7 0.809 0.691 0.250
Lu8 0.809 0.691 0.750
B1 0.034 0.847 0.000
B2 0.093 0.597 0.000
B3 0.097 0.593 0.500
B4 0.153 0.034 0.500
B5 0.347 0.534 0.500
B6 0.403 0.093 0.500
B7 0.407 0.097 0.000
B8 0.466 0.347 0.000
B9 0.534 0.653 0.000
B10 0.593 0.903 0.000
B11 0.597 0.907 0.500
B12 0.653 0.466 0.500
B13 0.847 0.966 0.500
B14 0.903 0.407 0.500
B15 0.907 0.403 0.000
B16 0.966 0.153 0.000
C1 0.040 0.822 0.500
C2 0.178 0.040 0.000
C3 0.322 0.540 0.000
C4 0.460 0.322 0.500
C5 0.540 0.678 0.500
C6 0.678 0.460 0.000
C7 0.822 0.960 0.000
C8 0.960 0.178 0.500
```



Entry from OQMD via LeMat-Bulk: an optimized crystal structure of DyZn4Ag8 (GGA-PBE).

Formation energy: -0.15 eV per atom

Structure (CIF):
```
data_DyZn4Ag8
_chemical_formula_sum 'Dy1 Zn4 Ag8'
_symmetry_space_group_name_H-M 'P 1'
_symmetry_Int_Tables_number 1
_cell_length_a 7.145
_cell_length_b 7.145
_cell_length_c 7.145
_cell_angle_alpha 97.73
_cell_angle_beta 97.73
_cell_angle_gamma 136.97
loop_
_symmetry_equiv_pos_as_xyz
'x,y,z'
loop_
_atom_site_label
_atom_site_fract_x
_atom_site_fract_y
_atom_site_fract_z
Dy1 0.000 0.000 0.000
Zn1 0.000 0.000 0.500
Zn2 0.000 0.500 0.000
Zn3 0.500 0.000 0.000
Zn4 0.500 0.500 0.500
Ag1 0.000 0.346 0.346
Ag2 0.000 0.654 0.654
Ag3 0.285 0.500 0.785
Ag4 0.346 0.000 0.346
Ag5 0.500 0.285 0.785
Ag6 0.500 0.715 0.215
Ag7 0.654 0.000 0.654
Ag8 0.715 0.500 0.215
```



Entry from OQMD via LeMat-Bulk: an optimized crystal structure of LaNd2IrO6 (GGA-PBE).

Raw total energy: -7.84 eV/atom

Structure (CIF):
```
data_LaNd2IrO6
_chemical_formula_sum 'La1 Nd2 Ir1 O6'
_symmetry_space_group_name_H-M 'P 1'
_symmetry_Int_Tables_number 1
_cell_length_a 5.657
_cell_length_b 5.748
_cell_length_c 5.788
_cell_angle_alpha 64.20
_cell_angle_beta 64.19
_cell_angle_gamma 64.39
loop_
_symmetry_equiv_pos_as_xyz
'x,y,z'
loop_
_atom_site_label
_atom_site_fract_x
_atom_site_fract_y
_atom_site_fract_z
La1 0.000 0.000 0.000
Nd1 0.274 0.276 0.281
Nd2 0.726 0.724 0.719
Ir1 0.500 0.500 0.500
O1 0.146 0.383 0.710
O2 0.283 0.851 0.616
O3 0.393 0.709 0.145
O4 0.607 0.291 0.855
O5 0.717 0.149 0.384
O6 0.854 0.617 0.290
```



Entry from OQMD via LeMat-Bulk: an optimized crystal structure of Er3Cd3GaAu2 (GGA-PBE).

Raw total energy: -3.49 eV/atom

Structure (CIF):
```
data_Er3Cd3GaAu2
_chemical_formula_sum 'Er3 Cd3 Ga1 Au2'
_symmetry_space_group_name_H-M 'P 1'
_symmetry_Int_Tables_number 1
_cell_length_a 7.573
_cell_length_b 7.573
_cell_length_c 4.000
_cell_angle_alpha 90.00
_cell_angle_beta 90.00
_cell_angle_gamma 120.00
loop_
_symmetry_equiv_pos_as_xyz
'x,y,z'
loop_
_atom_site_label
_atom_site_fract_x
_atom_site_fract_y
_atom_site_fract_z
Er1 0.000 0.588 0.000
Er2 0.412 0.412 0.000
Er3 0.588 0.000 0.000
Cd1 0.000 0.252 0.500
Cd2 0.252 0.000 0.500
Cd3 0.748 0.748 0.500
Ga1 0.000 0.000 0.000
Au1 0.333 0.667 0.500
Au2 0.667 0.333 0.500
```



Entry from OQMD via LeMat-Bulk: an optimized crystal structure of RbSrZr (GGA-PBE).

Raw total energy: -2.28 eV/atom

Structure (CIF):
```
data_RbSrZr
_chemical_formula_sum 'Rb1 Sr1 Zr1'
_symmetry_space_group_name_H-M 'P 1'
_symmetry_Int_Tables_number 1
_cell_length_a 6.152
_cell_length_b 6.152
_cell_length_c 6.152
_cell_angle_alpha 60.00
_cell_angle_beta 60.00
_cell_angle_gamma 60.00
loop_
_symmetry_equiv_pos_as_xyz
'x,y,z'
loop_
_atom_site_label
_atom_site_fract_x
_atom_site_fract_y
_atom_site_fract_z
Rb1 0.000 0.000 0.000
Sr1 0.250 0.250 0.250
Zr1 0.500 0.500 0.500
```



Entry from OQMD via LeMat-Bulk: an optimized crystal structure of Cs2PtCl6 (GGA-PBE).

Raw total energy: -3.35 eV/atom

Structure (CIF):
```
data_Cs2PtCl6
_chemical_formula_sum 'Cs2 Pt1 Cl6'
_symmetry_space_group_name_H-M 'P 1'
_symmetry_Int_Tables_number 1
_cell_length_a 7.357
_cell_length_b 7.357
_cell_length_c 7.357
_cell_angle_alpha 120.33
_cell_angle_beta 120.33
_cell_angle_gamma 89.43
loop_
_symmetry_equiv_pos_as_xyz
'x,y,z'
loop_
_atom_site_label
_atom_site_fract_x
_atom_site_fract_y
_atom_site_fract_z
Cs1 0.250 0.750 0.500
Cs2 0.750 0.250 0.500
Pt1 0.000 0.000 0.000
Cl1 0.220 0.765 0.985
Cl2 0.225 0.225 0.000
Cl3 0.235 0.220 0.455
Cl4 0.765 0.780 0.545
Cl5 0.775 0.775 0.000
Cl6 0.780 0.235 0.015
```



Entry from OQMD via LeMat-Bulk: an optimized crystal structure of ZrCd2Au2 (GGA-PBE).

Formation energy: -0.12 eV per atom
ΔE to the lowest computed polymorph: 0 meV/atom

Structure (CIF):
```
data_ZrCd2Au2
_chemical_formula_sum 'Zr1 Cd2 Au2'
_symmetry_space_group_name_H-M 'P 1'
_symmetry_Int_Tables_number 1
_cell_length_a 7.165
_cell_length_b 7.165
_cell_length_c 7.165
_cell_angle_alpha 147.69
_cell_angle_beta 147.69
_cell_angle_gamma 46.34
loop_
_symmetry_equiv_pos_as_xyz
'x,y,z'
loop_
_atom_site_label
_atom_site_fract_x
_atom_site_fract_y
_atom_site_fract_z
Zr1 0.000 0.000 0.000
Cd1 0.250 0.750 0.500
Cd2 0.750 0.250 0.500
Au1 0.401 0.401 0.000
Au2 0.599 0.599 0.000
```



Entry from OQMD via LeMat-Bulk: an optimized crystal structure of ScZnAu2 (GGA-PBE).

Formation energy: -0.51 eV per atom

Structure (CIF):
```
data_ScZnAu2
_chemical_formula_sum 'Sc1 Zn1 Au2'
_symmetry_space_group_name_H-M 'P 1'
_symmetry_Int_Tables_number 1
_cell_length_a 4.651
_cell_length_b 4.651
_cell_length_c 4.651
_cell_angle_alpha 60.00
_cell_angle_beta 60.00
_cell_angle_gamma 60.00
loop_
_symmetry_equiv_pos_as_xyz
'x,y,z'
loop_
_atom_site_label
_atom_site_fract_x
_atom_site_fract_y
_atom_site_fract_z
Sc1 0.000 0.000 0.000
Zn1 0.250 0.250 0.250
Au1 0.500 0.500 0.500
Au2 0.750 0.750 0.750
```



Entry from OQMD via LeMat-Bulk: an optimized crystal structure of MgTaNiAg (GGA-PBE).

ΔE to the lowest computed polymorph: 305 meV/atom

Structure (CIF):
```
data_MgTaNiAg
_chemical_formula_sum 'Mg1 Ta1 Ni1 Ag1'
_symmetry_space_group_name_H-M 'P 1'
_symmetry_Int_Tables_number 1
_cell_length_a 4.474
_cell_length_b 4.474
_cell_length_c 4.474
_cell_angle_alpha 60.00
_cell_angle_beta 60.00
_cell_angle_gamma 60.00
loop_
_symmetry_equiv_pos_as_xyz
'x,y,z'
loop_
_atom_site_label
_atom_site_fract_x
_atom_site_fract_y
_atom_site_fract_z
Mg1 0.000 0.000 0.000
Ta1 0.750 0.750 0.750
Ni1 0.250 0.250 0.250
Ag1 0.500 0.500 0.500
```



What did the twelfth record say?
Entry from OQMD via LeMat-Bulk: an optimized crystal structure of MgTaNiAg (GGA-PBE).

ΔE to the lowest computed polymorph: 305 meV/atom

Structure (CIF):
```
data_MgTaNiAg
_chemical_formula_sum 'Mg1 Ta1 Ni1 Ag1'
_symmetry_space_group_name_H-M 'P 1'
_symmetry_Int_Tables_number 1
_cell_length_a 4.474
_cell_length_b 4.474
_cell_length_c 4.474
_cell_angle_alpha 60.00
_cell_angle_beta 60.00
_cell_angle_gamma 60.00
loop_
_symmetry_equiv_pos_as_xyz
'x,y,z'
loop_
_atom_site_label
_atom_site_fract_x
_atom_site_fract_y
_atom_site_fract_z
Mg1 0.000 0.000 0.000
Ta1 0.750 0.750 0.750
Ni1 0.250 0.250 0.250
Ag1 0.500 0.500 0.500
```